A plane-wave DFT calculation with PBE was carried out for an optimized crystal structure of RbSrBr2.

The value obtained for the raw formation energy is -1303 meV/atom. For the density of states at the Fermi level, the calculation gives 11.94 states/eV/cell. The value obtained for the total magnetization is 0.000 μB/atom. As for the total energy: -2.801 eV per atom.

Cell: 8.354 8.354 8.354 Å, 90.00 90.00 90.00°
Space group Fm-3m (No. 225)
One atom of each set of equivalent atoms:
Rb  0.000  0.000  0.000 x4
Sr  0.000  0.000  0.500 x4
Br  0.250  0.250  0.250 x8

***

A plane-wave DFT calculation with PBE was carried out for an optimized crystal structure of CaCeEuMg.

The value obtained for the energy of formation is 0.16 eV per atom. For the density of states at the Fermi level, the calculation gives 39.24 states/eV/cell. The value obtained for the total magnetization is 2.221 μB/atom. As for the total energy: -4.796 eV per atom.

Cell: 8.121 8.121 8.121 Å, 90.00 90.00 90.00°
Space group F-43m (No. 216)
One atom of each set of equivalent atoms:
Ca  0.000  0.000  0.000 x4
Ce  0.000  0.000  0.500 x4
Eu  0.250  0.250  0.750 x4
Mg  0.250  0.250  0.250 x4

***

A plane-wave DFT calculation with PBE was carried out for an optimized crystal structure of PmPr3Ho3Se8.

The value obtained for the raw formation energy is -1849 meV/atom. For the density of states at the Fermi level, the calculation gives 20.17 states/eV/cell. The value obtained for the total magnetization is 0.000 μB/atom. As for the total energy: -5.896 eV per atom.

Cell: 8.2611 8.2611 20.5274 Å, 90.00 90.00 120.00°
Space group R-3m (No. 166, hexagonal axes)
One atom of each set of equivalent atoms:
Pm  0.0000  0.0000  0.0000 x3
Pr  0.0000  0.5000  0.5000 x9
Ho  0.0000  0.5000  0.0000 x9
Se  0.0000  0.0000  0.2559 x6
Se  0.0141  0.5070  0.2525 x18

***

A plane-wave DFT calculation with PBE was carried out for an optimized crystal structure of CuOs2Cl.

The value obtained for the raw formation energy is 842 meV/atom. For the density of states at the Fermi level, the calculation gives 10.17 states/eV/cell. The value obtained for the total magnetization is 0.000 μB/atom. As for the total energy: -6.259 eV per atom.

Cell: 2.7871 2.7871 25.3211 Å, 90.00 90.00 120.00°
Space group R-3m (No. 166, hexagonal axes)
One atom of each set of equivalent atoms:
Cu  0.0000  0.0000  0.0000 x3
Os  0.0000  0.0000  0.2511 x6
Cl  0.0000  0.0000  0.5000 x3

***

A plane-wave DFT calculation with PBE was carried out for an optimized crystal structure of InAg2I4.

The value obtained for the raw formation energy is -293 meV/atom. For the density of states at the Fermi level, the calculation gives 3.95 states/eV/cell. The value obtained for the total magnetization is 0.000 μB/atom. As for the total energy: -2.385 eV per atom.

Cell: 6.565 6.565 6.767 Å, 90.00 90.00 90.00°
Space group P-42m (No. 111)
One atom of each set of equivalent atoms:
In  0.000  0.000  0.000 x1
Ag  0.000  0.500  0.500 x2
I  0.269  0.269  0.254 x4

***

A plane-wave DFT calculation with PBE was carried out for an optimized crystal structure of Ti3BSb.

The value obtained for the raw formation energy is -516 meV/atom. For the density of states at the Fermi level, the calculation gives 5.21 states/eV/cell. The value obtained for the total magnetization is 0.000 μB/atom. As for the total energy: -7.413 eV per atom.

Cell: 6.0332 6.0332 4.9738 Å, 90.00 90.00 120.00°
Space group P6_3/mmc (No. 194)
One atom of each set of equivalent atoms:
Ti  0.1703  0.3405  0.2500 x6
B  0.0000  0.0000  0.0000 x2
Sb  0.3333  0.6667  0.7500 x2